Run one
The following is a PBE-GGA calculation of a relaxed Nd8Sm3Er2 crystal, from Alexandria.

Results
* D(E_F): 22.55 states/eV/cell
* magnetic moment: 0.000 μB/f.u.

Unit cell a=6.232 b=8.889 c=8.889 alpha=83.91 beta=72.84 gamma=72.84
Positions (direct):
Nd: 0.213 0.556 0.556
Nd: 0.787 0.444 0.444
Nd: 0.949 0.152 0.152
Nd: 0.051 0.848 0.848
Nd: 0.670 0.572 0.084
Nd: 0.670 0.084 0.572
Nd: 0.330 0.916 0.428
Nd: 0.330 0.428 0.916
Sm: 0.500 0.000 0.000
Sm: 0.000 0.246 0.754
Sm: 0.000 0.754 0.246
Er: 0.356 0.288 0.288
Er: 0.644 0.712 0.712

---

Run two
The following is a PBE-GGA calculation of a relaxed Nd8Sm3Er2 crystal, from Alexandria.

Results
* D(E_F): 19.02 states/eV/cell
* magnetic moment: 0.000 μB/f.u.

Unit cell a=5.806 b=7.751 c=10.932 alpha=110.77 beta=90.03 gamma=90.00
Positions (direct):
Nd: 0.001 0.674 0.349
Nd: 0.999 0.326 0.651
Nd: 0.000 0.134 0.268
Nd: 0.000 0.866 0.732
Nd: 0.500 0.600 0.785
Nd: 0.500 0.185 0.785
Nd: 0.500 0.815 0.215
Nd: 0.500 0.400 0.215
Sm: 0.500 0.000 0.000
Sm: 0.000 0.287 0.000
Sm: 0.000 0.713 0.000
Er: 0.499 0.241 0.481
Er: 0.501 0.759 0.519

---

Computed relative energies in units of meV per atom: run one 0; run two 51

---

Run one
The following is a PBE-GGA calculation of a relaxed Nd2SmEr crystal, from Alexandria.

Results
* D(E_F): 4.71 states/eV/cell
* magnetic moment: 0.000 μB/f.u.

Unit cell a=3.629 b=3.629 c=11.956 alpha=81.27 beta=81.27 gamma=60.00
Positions (direct):
Nd: 0.749 0.749 0.754
Nd: 0.251 0.251 0.246
Sm: 0.500 0.500 0.500
Er: 0.000 0.000 0.000

---

Run two
The following is a PBE-GGA calculation of a relaxed Nd2SmEr crystal, from Alexandria.

Results
* D(E_F): 8.56 states/eV/cell
* magnetic moment: 0.001 μB/f.u.

Unit cell a=5.763 b=5.763 c=5.763 alpha=60.00 beta=60.00 gamma=60.00
Positions (direct):
Nd: 0.250 0.250 0.250
Nd: 0.750 0.750 0.750
Sm: 0.500 0.500 0.500
Er: 0.000 0.000 0.000

---

Computed relative energies in units of meV per atom: run one 0; run two 110